(P)
Entry from OQMD: crystalline YCdCuPb at its relaxed geometry (GGA-PBE).

Lattice parameters (Å, degrees): 7.145 7.145 7.145 90.00 90.00 90.00
Fractional coordinates of all 16 atoms:
Y (0.000, 0.000, 0.000)
Y (0.000, 0.500, 0.500)
Y (0.500, 0.000, 0.500)
Y (0.500, 0.500, 0.000)
Cd (0.250, 0.250, 0.250)
Cd (0.250, 0.750, 0.750)
Cd (0.750, 0.250, 0.750)
Cd (0.750, 0.750, 0.250)
Cu (0.250, 0.250, 0.750)
Cu (0.250, 0.750, 0.250)
Cu (0.750, 0.250, 0.250)
Cu (0.750, 0.750, 0.750)
Pb (0.000, 0.000, 0.500)
Pb (0.000, 0.500, 0.000)
Pb (0.500, 0.000, 0.000)
Pb (0.500, 0.500, 0.500)

SG: F-43m
Total moment (μB per cell): 0.0


(Q)
Entry from OQMD: crystalline YCdCuPb at its relaxed geometry (GGA-PBE).

Lattice parameters (Å, degrees): 7.160 7.160 7.160 90.00 90.00 90.00
Fractional coordinates of all 16 atoms:
Y (0.000, 0.000, 0.000)
Y (0.000, 0.500, 0.500)
Y (0.500, 0.000, 0.500)
Y (0.500, 0.500, 0.000)
Cd (0.250, 0.250, 0.750)
Cd (0.250, 0.750, 0.250)
Cd (0.750, 0.250, 0.250)
Cd (0.750, 0.750, 0.750)
Cu (0.000, 0.000, 0.500)
Cu (0.000, 0.500, 0.000)
Cu (0.500, 0.000, 0.000)
Cu (0.500, 0.500, 0.500)
Pb (0.250, 0.250, 0.250)
Pb (0.250, 0.750, 0.750)
Pb (0.750, 0.250, 0.750)
Pb (0.750, 0.750, 0.250)

SG: F-43m
Total moment (μB per cell): 0.0


Best to worst by energy: (P), (Q).